1.
The following is a PBE calculation of a geometry-optimized Sr2SnPt structure, from Alexandria.

N(E_F): 0.5345 states/eV/atom
Total magnetization: 0.000 μB per formula unit
Formation energy from the elements: -372 meV per atom

a b c (Å): 8.685 8.685 6.997
angles (deg): 51.64 51.64 90.00
Atoms (fractional coordinates):
Sr 0.674 0.125 0.250
Sr 0.076 0.625 0.250
Sr 0.375 0.326 0.750
Sr 0.875 0.924 0.750
Sn 0.500 0.500 0.000
Sn 0.250 0.750 0.500
Pt 0.000 0.000 0.000
Pt 0.750 0.250 0.500

2.
The following is a PBE calculation of a geometry-optimized RuPbSe structure, from Alexandria.

Formation energy without anion corrections: 0.00 eV per atom
N(E_F): 0.5337 states/eV/atom
Total magnetization: 0.000 μB per formula unit

a b c (Å): 3.390 3.390 20.700
angles (deg): 90.00 90.00 120.00
Atoms (fractional coordinates):
Ru 0.000 0.000 0.747
Ru 0.333 0.667 0.414
Ru 0.667 0.333 0.080
Pb 0.000 0.000 0.190
Pb 0.333 0.667 0.856
Pb 0.667 0.333 0.523
Se 0.000 0.000 0.012
Se 0.333 0.667 0.678
Se 0.667 0.333 0.345

3.
The following is a PBE calculation of a geometry-optimized Na5PuTl6 structure, from Alexandria.

N(E_F): 1.2659 states/eV/atom
Total magnetization: 5.883 μB per formula unit
Formation energy from the elements: -69 meV per atom

a b c (Å): 5.318 7.996 8.339
angles (deg): 90.00 71.40 90.00
Each line ends with the local moment (μB).
Atoms (fractional coordinates):
Na 0.668 0.500 0.664  -0.01
Na 0.330 0.000 0.340  0.00
Na 0.000 0.500 0.000  0.00
Na 0.670 0.000 0.660  0.00
Na 0.332 0.500 0.336  -0.01
Tl 0.834 0.753 0.331  0.01
Tl 0.834 0.247 0.331  0.01
Tl 0.500 0.243 0.000  0.01
Tl 0.500 0.757 0.000  0.01
Tl 0.166 0.753 0.669  0.01
Tl 0.166 0.247 0.669  0.01
Pu 0.000 0.000 0.000  5.53

4.
The following is a PBE calculation of a geometry-optimized LaPbIN2 structure, from Alexandria.

Formation energy without anion corrections: 0.50 eV per atom
N(E_F): 0.2463 states/eV/atom
Total magnetization: 2.052 μB per formula unit

a b c (Å): 4.794 4.794 6.446
angles (deg): 90.00 90.00 90.00
Each line ends with the local moment (μB).
Atoms (fractional coordinates):
Pb 0.500 0.500 0.500  -0.13
I 0.000 0.000 0.500  -0.01
N 0.000 0.500 0.000  0.79
N 0.500 0.000 0.000  0.79
La 0.000 0.000 0.000  0.15

5.
The following is a PBE calculation of a geometry-optimized Rb2Ba2As structure, from Alexandria.

N(E_F): 1.0693 states/eV/atom
Total magnetization: 0.003 μB per formula unit
Formation energy from the elements: -248 meV per atom

a b c (Å): 8.848 8.848 8.001
angles (deg): 90.00 90.00 90.00
Atoms (fractional coordinates):
As 0.000 0.000 0.000
As 0.500 0.500 0.000
Ba 0.317 0.817 0.000
Ba 0.817 0.683 0.000
Ba 0.683 0.183 0.000
Ba 0.183 0.317 0.000
Rb 0.176 0.676 0.500
Rb 0.676 0.824 0.500
Rb 0.824 0.324 0.500
Rb 0.324 0.176 0.500

6.
The following is a PBE calculation of a geometry-optimized Ba3Pt structure, from Alexandria.

N(E_F): 0.8429 states/eV/atom
Total magnetization: 0.000 μB per formula unit
Formation energy from the elements: -459 meV per atom

a b c (Å): 13.992 4.592 21.244
angles (deg): 90.00 171.14 90.00
Atoms (fractional coordinates):
Ba 0.100 0.000 0.000
Ba 0.400 0.000 0.000
Ba 0.750 0.500 0.000
Pt 0.250 0.500 0.000

7.
The following is a PBE calculation of a geometry-optimized BeTe2Se structure, from Alexandria.

Formation energy without anion corrections: 0.14 eV per atom
N(E_F): 0.6652 states/eV/atom
Total magnetization: 0.000 μB per formula unit

a b c (Å): 7.242 7.242 7.242
angles (deg): 31.27 31.27 31.27
Atoms (fractional coordinates):
Be 0.250 0.250 0.250
Te 0.983 0.983 0.983
Te 0.517 0.517 0.517
Se 0.750 0.750 0.750

8.
The following is a PBE calculation of a geometry-optimized SrWNCl2 structure, from Alexandria.

Formation energy without anion corrections: -0.56 eV per atom
N(E_F): 0.6324 states/eV/atom
Total magnetization: 0.465 μB per formula unit

a b c (Å): 5.078 3.909 5.078
angles (deg): 90.00 90.00 90.00
Each line ends with the local moment (μB).
Atoms (fractional coordinates):
Sr 0.500 0.500 0.500  0.00
N 0.000 0.500 0.000  -0.02
W 0.000 0.000 0.000  0.39
Cl 0.000 0.000 0.500  0.01
Cl 0.500 0.000 0.000  0.00

9.
The following is a PBE calculation of a geometry-optimized Pm11Tl4Cd9 structure, from Alexandria.

N(E_F): 1.1671 states/eV/atom
Total magnetization: 0.139 μB per formula unit
Formation energy from the elements: -298 meV per atom

a b c (Å): 3.794 13.713 13.713
angles (deg): 107.11 90.00 90.00
Atoms (fractional coordinates):
Pm 0.000 0.594 0.937
Pm 0.000 0.406 0.063
Pm 0.000 0.937 0.594
Pm 0.000 0.063 0.406
Pm 0.000 0.642 0.358
Pm 0.000 0.358 0.642
Pm 0.000 0.820 0.180
Pm 0.000 0.180 0.820
Pm 0.000 0.000 0.000
Pm 0.000 0.767 0.767
Pm 0.000 0.233 0.233
Tl 0.500 0.563 0.733
Tl 0.500 0.437 0.267
Tl 0.500 0.733 0.563
Tl 0.500 0.267 0.437
Cd 0.500 0.617 0.147
Cd 0.500 0.383 0.853
Cd 0.500 0.147 0.617
Cd 0.500 0.853 0.383
Cd 0.500 0.802 0.978
Cd 0.500 0.198 0.022
Cd 0.500 0.978 0.802
Cd 0.500 0.022 0.198
Cd 0.500 0.500 0.500

10.
The following is a PBE calculation of a geometry-optimized TlFeTc2 structure, from Alexandria.

N(E_F): 1.1590 states/eV/atom
Total magnetization: 3.106 μB per formula unit
Formation energy from the elements: 574 meV per atom

a b c (Å): 4.826 4.826 4.826
angles (deg): 130.92 130.92 71.95
Each line ends with the local moment (μB).
Atoms (fractional coordinates):
Fe 0.750 0.250 0.500  2.55
Tc 0.000 0.000 0.000  0.38
Tc 0.250 0.750 0.500  0.16
Tl 0.500 0.500 0.000  -0.02

11.
The following is a PBE calculation of a geometry-optimized Dy3Ho6TmTh2 structure, from Alexandria.

N(E_F): 1.3435 states/eV/atom
Total magnetization: 0.000 μB per formula unit
Formation energy from the elements: 21 meV per atom

a b c (Å): 6.127 6.127 11.713
angles (deg): 95.02 95.02 119.97
Atoms (fractional coordinates):
Dy 0.166 0.834 0.500
Dy 0.834 0.166 0.500
Dy 0.500 0.500 0.500
Ho 0.917 0.581 0.752
Ho 0.746 0.746 0.248
Ho 0.083 0.419 0.248
Ho 0.581 0.917 0.752
Ho 0.254 0.254 0.752
Ho 0.419 0.083 0.248
Tm 0.000 0.000 0.000
Th 0.333 0.667 0.000
Th 0.667 0.333 0.000

12.
The following is a PBE calculation of a geometry-optimized Mg2Ir2Pd structure, from Alexandria.

N(E_F): 0.7492 states/eV/atom
Total magnetization: 0.000 μB per formula unit
Formation energy from the elements: -1 meV per atom

a b c (Å): 3.542 3.542 7.747
angles (deg): 76.79 76.79 90.00
Atoms (fractional coordinates):
Mg 0.399 0.399 0.202
Mg 0.601 0.601 0.798
Ir 0.750 0.250 0.500
Ir 0.250 0.750 0.500
Pd 0.000 0.000 0.000

- The highest total magnetization belongs to which entry?
  Na5PuTl6

What did the eighth record say?
The following is a PBE calculation of a geometry-optimized SrWNCl2 structure, from Alexandria.

Formation energy without anion corrections: -0.56 eV per atom
N(E_F): 0.6324 states/eV/atom
Total magnetization: 0.465 μB per formula unit

a b c (Å): 5.078 3.909 5.078
angles (deg): 90.00 90.00 90.00
Each line ends with the local moment (μB).
Atoms (fractional coordinates):
Sr 0.500 0.500 0.500  0.00
N 0.000 0.500 0.000  -0.02
W 0.000 0.000 0.000  0.39
Cl 0.000 0.000 0.500  0.01
Cl 0.500 0.000 0.000  0.00

- Which value of N(E_F) does entry 8 give?
  0.6324 states/eV/atom